Entry 1:
Material: YP3Ru3
Method: DFT, GGA-PBE
State: relaxed

space-group type	R-3

a = 6.672 Å, b = 6.672 Å, c = 7.607 Å
α = 63.99°, β = 63.99°, γ = 60.00°
Sites, in units of the cell vectors:
Ru 0.532 0.224 0.360
Ru 0.116 0.468 0.640
P 0.595 0.904 0.277
Y 0.667 0.667 0.999
Y 0.333 0.333 0.001
P 0.224 0.595 0.277
P 0.904 0.224 0.277
P 0.096 0.776 0.723
Ru 0.468 0.776 0.640
Ru 0.224 0.884 0.360
Ru 0.776 0.116 0.640
Ru 0.884 0.532 0.360
P 0.776 0.405 0.723
P 0.405 0.096 0.723

=====

Entry 2:
Material: YPRu2
Method: DFT, GGA-PBE
State: relaxed

space-group type	Pmm2

a = 2.997 Å, b = 3.880 Å, c = 5.780 Å
α = 90.00°, β = 90.00°, γ = 90.00°
Sites, in units of the cell vectors:
P 0.500 0.500 0.813
Y 0.000 0.000 0.499
Ru 0.000 0.000 0.987
Ru 0.500 0.500 0.202

=====

Entry 3:
Material: YP2Ru
Method: DFT, GGA-PBE
State: relaxed

polymorph energy (0 for the lowest one)	214	meV/atom
space-group type	Immm

a = 4.707 Å, b = 4.707 Å, c = 4.707 Å
α = 130.28°, β = 108.14°, γ = 92.42°
Sites, in units of the cell vectors:
P 0.945 0.945 0.000
Ru 0.750 0.250 0.500
P 0.555 0.555 0.000
Y 0.250 0.750 0.500

=====

ΔE_f per entry: -0.75 -0.20 -0.69 eV per atom